Record 1
Entry from Alexandria: a geometry-optimized Cd4SiBr structure (GGA-PBE).

Summary:
* energy relative to the elements, uncorrected: 0.2805 eV per atom
* calculated total energy: -1.512 eV/atom
* SG: No. 216
* ρ: 6.4 g cm⁻³

a = 5.884 Å, b = 5.884 Å, c = 5.884 Å
α = 60.00°, β = 60.00°, γ = 60.00°
Atoms (fractional coordinates):
Cd (0.873, 0.376, 0.376)
Cd (0.376, 0.376, 0.873)
Cd (0.376, 0.873, 0.376)
Cd (0.376, 0.376, 0.376)
Si (0.750, 0.750, 0.750)
Br (0.000, 0.000, 0.000)


Record 2
Entry from Alexandria: a geometry-optimized Cd2SiBr structure (GGA-PBE).

Summary:
* distance to the lowest polymorph of the same formula: 0.146 eV per atom
* energy relative to the elements, uncorrected: 0.1430 eV per atom
* calculated total energy: -2.089 eV/atom
* SG: No. 123
* ρ: 5.9 g cm⁻³

a = 3.486 Å, b = 3.486 Å, c = 7.668 Å
α = 90.00°, β = 90.00°, γ = 90.00°
Atoms (fractional coordinates):
Br (0.500, 0.500, 0.750)
Cd (0.000, 0.000, 0.034)
Cd (0.000, 0.000, 0.466)
Si (0.500, 0.500, 0.250)


Record 3
Entry from Alexandria: a geometry-optimized Cd2SiBr structure (GGA-PBE).

Summary:
* distance to the lowest polymorph of the same formula: 0.004 eV per atom
* energy relative to the elements, uncorrected: 0.0008 eV per atom
* calculated total energy: -2.231 eV/atom
* SG: No. 166
* ρ: 5.6 g cm⁻³

a = 7.676 Å, b = 7.676 Å, c = 7.676 Å
α = 29.81°, β = 29.81°, γ = 29.81°
Atoms (fractional coordinates):
Br (0.750, 0.750, 0.750)
Cd (0.987, 0.987, 0.987)
Cd (0.513, 0.513, 0.513)
Si (0.250, 0.250, 0.250)


Record 4
Entry from Alexandria: a geometry-optimized CdSiBr structure (GGA-PBE).

Summary:
* distance to the lowest polymorph of the same formula: 0.000 eV per atom
* energy relative to the elements, uncorrected: 0.0363 eV per atom
* calculated total energy: -2.634 eV/atom
* SG: No. 44
* ρ: 4.2 g cm⁻³

a = 6.448 Å, b = 6.448 Å, c = 6.448 Å
α = 147.82°, β = 141.70°, γ = 50.86°
Atoms (fractional coordinates):
Br (0.976, 0.976, 0.000)
Cd (0.248, 0.248, 0.000)
Si (0.775, 0.775, 0.000)


Record 5
Entry from Alexandria: a geometry-optimized CdSiBr structure (GGA-PBE).

Summary:
* distance to the lowest polymorph of the same formula: 0.397 eV per atom
* energy relative to the elements, uncorrected: 0.4332 eV per atom
* calculated total energy: -2.237 eV/atom
* SG: No. 156
* ρ: 5.2 g cm⁻³

a = 4.944 Å, b = 4.944 Å, c = 3.334 Å
α = 90.00°, β = 90.00°, γ = 120.00°
Atoms (fractional coordinates):
Br (0.000, 0.000, 0.909)
Cd (0.667, 0.333, 0.368)
Si (0.333, 0.667, 0.724)


Record 6
Entry from Alexandria: a geometry-optimized Cd2SiBr structure (GGA-PBE).

Summary:
* distance to the lowest polymorph of the same formula: 0.451 eV per atom
* energy relative to the elements, uncorrected: 0.4479 eV per atom
* calculated total energy: -1.784 eV/atom
* SG: No. 216
* ρ: 5.8 g cm⁻³

a = 5.120 Å, b = 5.120 Å, c = 5.120 Å
α = 60.00°, β = 60.00°, γ = 60.00°
Atoms (fractional coordinates):
Br (0.500, 0.500, 0.500)
Cd (0.000, 0.000, 0.000)
Cd (0.750, 0.750, 0.750)
Si (0.250, 0.250, 0.250)


Record 7
Entry from Alexandria: a geometry-optimized Cd2SiBr structure (GGA-PBE).

Summary:
* distance to the lowest polymorph of the same formula: 0.315 eV per atom
* energy relative to the elements, uncorrected: 0.3117 eV per atom
* calculated total energy: -1.920 eV/atom
* SG: No. 47
* ρ: 5.9 g cm⁻³

a = 3.140 Å, b = 5.121 Å, c = 5.849 Å
α = 90.00°, β = 90.00°, γ = 90.00°
Atoms (fractional coordinates):
Br (0.000, 0.500, 0.500)
Cd (0.000, 0.000, 0.000)
Cd (0.500, 0.500, 0.000)
Si (0.500, 0.000, 0.500)


Record 8
Entry from Alexandria: a geometry-optimized Cd2SiBr structure (GGA-PBE).

Summary:
* distance to the lowest polymorph of the same formula: 0.245 eV per atom
* energy relative to the elements, uncorrected: 0.2414 eV per atom
* calculated total energy: -1.990 eV/atom
* SG: No. 160
* ρ: 5.7 g cm⁻³

a = 8.281 Å, b = 8.281 Å, c = 8.281 Å
α = 26.17°, β = 26.17°, γ = 26.17°
Atoms (fractional coordinates):
Br (0.753, 0.753, 0.753)
Cd (0.997, 0.997, 0.997)
Cd (0.245, 0.245, 0.245)
Si (0.506, 0.506, 0.506)